Material: HgSbAs2
Method: DFT, meta-GGA SCAN
State: PBEsol geometry

Total magnetic moment in μB per formula unit: 0.0
DFT total energy in eV/atom: -36.06
Relative energy among the computed polymorphs in eV per formula unit: 0.73
SG: No. 71
Formation energy (no corrections) in eV/atom: 0.396

```
4
Lattice="3.7098 0.0000 0.0000 0.0000 4.5865 0.0000 -1.8549 -2.2932 5.1920" Properties=species:S:1:pos:R:3 pbc="T T T"
Hg 1.8549 0.0000 0.0000
Sb 0.0000 2.2932 0.0000
As 1.8549 2.2932 2.2992
As 0.0000 0.0000 2.8928
```

Material: HgSb2As2
Method: DFT, meta-GGA SCAN
State: PBEsol geometry

Total magnetic moment in μB per formula unit: 0.0
DFT total energy in eV/atom: -36.33
Relative energy among the computed polymorphs in eV per formula unit: 0.37
SG: No. 127
Formation energy (no corrections) in eV/atom: 0.284

```
10
Lattice="3.7086 0.0000 0.0000 0.0000 7.9559 0.0000 0.0000 0.0000 7.9559" Properties=species:S:1:pos:R:3 pbc="T T T"
Sb 0.0000 2.7194 6.6974
Hg 0.0000 3.9780 3.9780
As 1.8543 6.7714 2.7934
Sb 0.0000 1.2585 2.7194
Sb 0.0000 6.6974 5.2365
As 1.8543 1.1846 5.1626
As 1.8543 2.7934 1.1846
As 1.8543 5.1626 6.7714
Sb 0.0000 5.2365 1.2585
Hg 0.0000 0.0000 0.0000
```

Material: HgSbAs2
Method: DFT, meta-GGA SCAN
State: PBEsol geometry

Total magnetic moment in μB per formula unit: 0.0
DFT total energy in eV/atom: -36.24
Relative energy among the computed polymorphs in eV per formula unit: 0.00
SG: No. 122
Formation energy (no corrections) in eV/atom: 0.213

```
8
Lattice="6.1245 0.0000 0.0000 0.0000 6.1245 0.0000 -3.0623 -3.0623 6.3498" Properties=species:S:1:pos:R:3 pbc="T T T"
As -1.5311 -1.5691 4.7624
Sb 3.0623 3.0623 0.0000
Hg 0.0000 0.0000 0.0000
As 1.5311 1.5691 4.7624
Sb 3.0623 0.0000 3.1749
As 1.4931 4.5934 1.5875
As 4.6314 1.5311 1.5875
Hg 0.0000 3.0623 3.1749
```

Material: HgSbAs2
Method: DFT, meta-GGA SCAN
State: PBEsol geometry

Total magnetic moment in μB per formula unit: 0.0
DFT total energy in eV/atom: -36.16
Relative energy among the computed polymorphs in eV per formula unit: 0.31
SG: No. 123
Formation energy (no corrections) in eV/atom: 0.291

```
4
Lattice="-2.9625 -0.3944 -2.3346 2.0113 -2.3922 -2.1481 -2.3124 -5.3978 3.8462" Properties=species:S:1:pos:R:3 pbc="T T T"
Sb -1.6318 -4.0922 -0.3183
As -0.7436 -1.7358 1.2368
As -1.5688 -3.6621 2.6094
Hg -0.4756 -1.3933 -2.2413
```

> Which formula does entry 1 have?

HgSbAs2